[1]
Material: NaCdTeI2
Method: DFT, PBEsol
State: optimized geometry

Cell and atoms, written as POSCAR:
```
NaCdTeI2
1.0
-2.980 -3.726 2.841
-1.840 -2.391 -5.065
4.622 -3.660 0.048
I Cd Na Te
2 1 1 1
direct
0.000 0.000 0.500
0.000 0.500 0.000
0.000 0.000 0.000
0.500 0.500 0.500
0.500 0.000 0.000
```

Results
* crystal system: tetragonal
* formation energy (no corrections): -0.31 eV per atom



[2]
Material: BiAs3H
Method: DFT, PBEsol
State: optimized geometry

Cell and atoms, written as POSCAR:
```
BiAs3H
1.0
-3.761 -1.283 -1.990
2.365 -1.866 -3.267
0.107 -3.824 2.262
As Bi H
3 1 1
direct
0.000 0.000 0.500
0.000 0.500 0.000
0.500 0.000 0.000
0.500 0.500 0.500
0.000 0.000 0.000
```

Results
* crystal system: cubic
* calculated total energy: -4.06 eV per atom



[3]
Material: CaLaIr4
Method: DFT, PBEsol
State: optimized geometry

Cell and atoms, written as POSCAR:
```
CaLaIr4
1.0
5.356 0.000 0.000
2.678 4.639 0.000
2.678 1.546 4.373
Ir Ca La
4 1 1
direct
0.375 0.375 0.876
0.375 0.876 0.375
0.876 0.375 0.375
0.375 0.375 0.375
0.000 0.000 0.000
0.750 0.750 0.750
```

Results
* crystal system: cubic
* calculated total energy: -8.36 eV per atom



[4]
Material: ScMoAu
Method: DFT, PBEsol
State: optimized geometry

Cell and atoms, written as POSCAR:
```
ScMoAu
1.0
2.938 0.000 0.000
-1.469 2.544 0.000
0.000 0.000 7.007
Mo Au Sc
1 1 1
direct
0.333 0.667 0.667
0.000 0.000 0.997
0.667 0.333 0.336
```

Results
* crystal system: trigonal
* ΔE to the lowest computed polymorph: 0 meV per atom



[5]
Material: TaTlZn2
Method: DFT, PBEsol
State: optimized geometry

Cell and atoms, written as POSCAR:
```
TaTlZn2
1.0
-1.916 -3.073 -1.644
0.948 -2.266 3.128
-3.244 3.909 1.286
Ta Zn Tl
1 2 1
direct
0.500 0.500 0.000
0.750 0.250 0.500
0.250 0.750 0.500
0.000 0.000 0.000
```

Results
* crystal system: tetragonal
* ΔE to the lowest computed polymorph: 83 meV per atom



[6]
Material: NaSr3NdTi5O15
Method: DFT, PBEsol
State: optimized geometry

Cell and atoms, written as POSCAR:
```
NaSr3NdTi5O15
1.0
5.450 0.000 0.000
0.000 5.450 0.000
-2.725 -2.725 19.533
O Ti Sr Na Nd
30 10 6 2 2
direct
0.054 0.054 0.503
0.829 0.829 0.101
0.772 0.329 0.100
0.399 0.899 0.798
0.799 0.299 0.599
0.946 0.551 0.497
0.671 0.671 0.900
0.500 0.000 0.000
0.601 0.101 0.202
0.201 0.701 0.401
0.366 0.936 0.302
0.449 0.449 0.305
0.936 0.366 0.302
0.064 0.064 0.698
0.299 0.799 0.599
0.634 0.634 0.698
0.899 0.399 0.798
0.728 0.171 0.899
0.101 0.601 0.202
0.551 0.144 0.695
0.551 0.946 0.497
0.329 0.772 0.100
0.171 0.728 0.899
0.701 0.201 0.401
0.856 0.856 0.305
0.228 0.228 0.900
0.272 0.272 0.101
0.449 0.449 0.503
0.000 0.500 0.000
0.144 0.551 0.695
0.151 0.651 0.303
0.050 0.550 0.101
0.550 0.050 0.101
0.849 0.349 0.697
0.450 0.950 0.899
0.950 0.450 0.899
0.750 0.250 0.500
0.250 0.750 0.500
0.349 0.849 0.697
0.651 0.151 0.303
0.899 0.899 0.799
0.500 0.500 0.000
0.400 0.400 0.799
0.101 0.101 0.201
0.600 0.600 0.201
0.000 0.000 0.000
0.201 0.201 0.401
0.799 0.799 0.599
0.700 0.700 0.401
0.300 0.300 0.599
```

Results
* crystal system: tetragonal
* formation energy (no corrections): -3.13 eV per atom